Entry 1:
The following is a GGA-PBEsol calculation of an optimized crystal structure of CePt3, from the Alexandria database.

The raw total energy is -7.805 eV per atom. The energy relative to the elements is -933 meV per atom.

The structure belongs to space group Pm-3m (No. 221); the cell edges are 4.1044, 4.1044 and 4.1044 Å and the angles 90.00°, 90.00° and 90.00°. The asymmetric unit holds Ce at (0.0000, 0.0000, 0.0000) and Pt at (0.0000, 0.5000, 0.5000).

=====

Entry 2:
The following is a GGA-PBEsol calculation of an optimized crystal structure of AlCr2In, from the Alexandria database.

The raw total energy is -6.610 eV per atom. The energy relative to the elements is 279 meV per atom.

The structure belongs to space group I-4m2 (No. 119); the cell edges are 4.1094, 4.1094 and 7.1143 Å and the angles 90.00°, 90.00° and 90.00°. The asymmetric unit holds Al at (0.0000, 0.0000, 0.0000), Cr at (0.0000, 0.0000, 0.5000), Cr at (0.0000, 0.5000, 0.2500) and In at (0.0000, 0.5000, 0.7500).